Ca2AcPuN4: relaxed, PBE.

Space group: P2/m
Formation energy (no corrections) (eV per atom): -1.015
Magnetic moment (Bohr magnetons per cell): 3.00
Crystal system: monoclinic
DFT total energy (eV/atom): -7.983
DOS(E_F) (states/eV/atom): 0.68

Cell lengths 6.147, 3.625, 6.405 Å; angles 90.00, 110.85, 90.00 degrees
Fractional coordinates of all 8 atoms:
Ca (0.000, 0.000, 0.000)
Ca (0.000, 0.500, 0.500)
Ac (0.500, 0.000, 0.500)
Pu (0.500, 0.500, 0.000)
N (0.264, 0.000, 0.767)
N (0.290, 0.500, 0.202)
N (0.710, 0.500, 0.798)
N (0.736, 0.000, 0.233)